DFT (PBE) results for a relaxed structure of LiFe.

```
LiFe
1.0
2.5664 0.0000 0.0000
-1.2832 2.2226 0.0000
0.0000 0.0000 9.2138
Fe Li
2 2
direct
0.0000 0.0000 0.0082
0.6667 0.3333 0.2418
0.0000 0.0000 0.4842
0.6667 0.3333 0.7658
```

symmetry = P-3m1
energy of formation = 0.202 eV/atom